Here is an optimized crystal structure of K2CeGeS4 from Alexandria. Energies are from GGA-PBE.

It has space group P2/m (No. 10), with a = 7.062 Å, b = 4.111 Å, c = 7.605 Å, α = 90.00°, β = 107.66° and γ = 90.00°. The inequivalent atoms are K at (0.000, 0.000, 0.000), K at (0.500, 0.500, 0.000), Ce at (0.000, 0.500, 0.500), Ge at (0.500, 0.000, 0.500), S at (0.233, 0.000, 0.700) and S at (0.261, 0.500, 0.304).

The calculation puts the total energy at -4.90 eV/atom. As for the crystal system: monoclinic. The spin magnetization is 0.14 μB/f.u.